A relaxed structure of VGeN2. Source: Alexandria via LeMat-Bulk, functional PBE-GGA.

The value obtained for the density of states at the Fermi level is 0.1837 states/eV per atom. For the magnetic moment, the calculation gives 0.000 Bohr magnetons per cell. The calculation puts the electronic total energy at -31.58 eV per formula unit. As for the density: 4.70 g/cm3. For the uncorrected formation energy, the calculation gives -0.299 eV per atom.

The structure belongs to space group Pnma (No. 62); the cell edges are 6.567, 3.343 and 9.754 Å and the angles 90.00°, 90.00° and 90.00°. The inequivalent atoms are V at (0.030, 0.250, 0.105), Ge at (0.061, 0.250, 0.618), N at (0.112, 0.750, 0.737) and N at (0.150, 0.750, 0.058).